## Na5B8C2 (GGA-PBE)

Data for Na5B8C2 after structural relaxation.

Unit cell a=23.4290 b=2.8222 c=10.1486 alpha=90.00 beta=106.11 gamma=90.00
Space group Cm (No. 8)
Unique sites:
Na  0.0000  0.0000  0.0000 (multiplicity 2)
Na  0.0003  0.5000  0.4954 (multiplicity 2)
Na  0.0997  0.0000  0.6965 (multiplicity 2)
Na  0.1010  0.5000  0.2005 (multiplicity 2)
Na  0.2010  0.0000  0.3993 (multiplicity 2)
Na  0.2009  0.5000  0.9005 (multiplicity 2)
Na  0.3005  0.5000  0.5982 (multiplicity 2)
Na  0.3014  0.0000  0.1045 (multiplicity 2)
Na  0.4005  0.0000  0.7982 (multiplicity 2)
Na  0.4015  0.5000  0.2984 (multiplicity 2)
B  0.0147  0.5000  0.7766 (multiplicity 2)
B  0.0215  0.0000  0.2912 (multiplicity 2)
B  0.0775  0.5000  0.9032 (multiplicity 2)
B  0.1124  0.5000  0.4729 (multiplicity 2)
B  0.1206  0.0000  0.9904 (multiplicity 2)
B  0.1780  0.5000  0.6030 (multiplicity 2)
B  0.1844  0.0000  0.1175 (multiplicity 2)
B  0.2208  0.0000  0.6883 (multiplicity 2)
B  0.2250  0.5000  0.1987 (multiplicity 2)
B  0.2836  0.0000  0.8136 (multiplicity 2)
B  0.2920  0.5000  0.3311 (multiplicity 2)
B  0.3258  0.5000  0.8997 (multiplicity 2)
B  0.3836  0.0000  0.5136 (multiplicity 2)
B  0.4155  0.0000  0.0800 (multiplicity 2)
B  0.4734  0.5000  0.6935 (multiplicity 2)
B  0.4816  0.0000  0.2121 (multiplicity 2)
C  0.0814  0.0000  0.4110 (multiplicity 2)
C  0.3224  0.0000  0.3910 (multiplicity 2)
C  0.3841  0.5000  0.0174 (multiplicity 2)
C  0.4144  0.5000  0.5754 (multiplicity 2)

Computed properties:
Formation energy = 2.65 eV/f.u.
Polymorph energy (0 for the lowest one) = 6 meV/atom
Crystal system = monoclinic